1.
A relaxed TlSbCl2 crystal, computed with GGA-PBE.

Properties
Density in g/cm³: 6.40
D(E_F) in states/eV per atom: 1.10
E above lowest polymorph in kJ per mole of atoms: 45.7

Geometry as CIF:
```
data_TlSbCl2
_cell_length_a 7.4410
_cell_length_b 7.4410
_cell_length_c 7.4410
_cell_angle_alpha 90.00
_cell_angle_beta 90.00
_cell_angle_gamma 90.00
_space_group_name_H-M_alt 'F -4 3 m'
_space_group_IT_number 216
_space_group_name_Hall 'F -4 2 3'
loop_
_atom_site_label
_atom_site_type_symbol
_atom_site_fract_x
_atom_site_fract_y
_atom_site_fract_z
_atom_site_occupancy
Tl1 Tl 0.0000 0.0000 0.0000 1
Sb1 Sb 0.2500 0.2500 0.2500 1
Cl1 Cl 0.0000 0.0000 0.5000 1
Cl2 Cl 0.2500 0.2500 0.7500 1
```

---

2.
A relaxed Tl3SbCl crystal, computed with GGA-PBE.

Properties
Density in g/cm³: 6.69
D(E_F) in states/eV per atom: 0.33
E above lowest polymorph in kJ per mole of atoms: 0.0

Geometry as CIF:
```
data_Tl3SbCl
_cell_length_a 8.4340
_cell_length_b 4.9844
_cell_length_c 9.1737
_cell_angle_alpha 90.00
_cell_angle_beta 97.13
_cell_angle_gamma 90.00
_space_group_name_H-M_alt 'P 1 21/m 1'
_space_group_IT_number 11
loop_
_space_group_symop_operation_xyz
'x,y,z'
'-x,-y,-z'
'-x,y+1/2,-z'
'x,-y+1/2,z'
loop_
_atom_site_label
_atom_site_type_symbol
_atom_site_fract_x
_atom_site_fract_y
_atom_site_fract_z
_atom_site_occupancy
Tl1 Tl 0.0009 0.2500 0.2173 1
Tl2 Tl 0.3221 0.2500 0.4714 1
Tl3 Tl 0.4806 0.2500 0.8802 1
Sb1 Sb 0.3638 0.7500 0.6778 1
Cl1 Cl 0.1588 0.7500 0.1026 1
```

---

3.
A relaxed TlSbCl4 crystal, computed with GGA-PBE.

Properties
Density in g/cm³: 3.73
D(E_F) in states/eV per atom: 0.00
E above lowest polymorph in kJ per mole of atoms: 0.0

Geometry as CIF:
```
data_TlSbCl4
_cell_length_a 10.2258
_cell_length_b 7.6789
_cell_length_c 10.8171
_cell_angle_alpha 90.00
_cell_angle_beta 101.10
_cell_angle_gamma 90.00
_space_group_name_H-M_alt 'P 1 21/c 1'
_space_group_IT_number 14
loop_
_space_group_symop_operation_xyz
'x,y,z'
'-x,-y,-z'
'-x,y+1/2,-z+1/2'
'x,-y+1/2,z+1/2'
loop_
_atom_site_label
_atom_site_type_symbol
_atom_site_fract_x
_atom_site_fract_y
_atom_site_fract_z
_atom_site_occupancy
Tl1 Tl 0.1809 0.2456 0.3939 1
Sb1 Sb 0.3213 0.7147 0.2011 1
Cl1 Cl 0.1042 0.5395 0.1810 1
Cl2 Cl 0.1873 0.5147 0.6352 1
Cl3 Cl 0.3344 0.6373 0.9844 1
Cl4 Cl 0.4393 0.1123 0.7909 1
```

---

4.
A relaxed TlSbCl2 crystal, computed with GGA-PBE.

Properties
Density in g/cm³: 6.32
D(E_F) in states/eV per atom: 0.47
E above lowest polymorph in kJ per mole of atoms: 26.5

Geometry as CIF:
```
data_TlSbCl2
_cell_length_a 3.3846
_cell_length_b 4.5054
_cell_length_c 6.8442
_cell_angle_alpha 90.00
_cell_angle_beta 90.00
_cell_angle_gamma 90.00
_space_group_name_H-M_alt 'P m m m'
_space_group_IT_number 47
loop_
_space_group_symop_operation_xyz
'x,y,z'
'-x,-y,-z'
'-x,-y,z'
'x,y,-z'
'x,-y,-z'
'-x,y,z'
'-x,y,-z'
'x,-y,z'
loop_
_atom_site_label
_atom_site_type_symbol
_atom_site_fract_x
_atom_site_fract_y
_atom_site_fract_z
_atom_site_occupancy
Tl1 Tl 0.0000 0.0000 0.0000 1
Sb1 Sb 0.0000 0.0000 0.5000 1
Cl1 Cl 0.5000 0.5000 0.2627 1
```

---

5.
A relaxed Tl5SbCl8 crystal, computed with GGA-PBE.

Properties
Density in g/cm³: 5.63
D(E_F) in states/eV per atom: 0.00
Uncorrected energy in eV per atom: -3.12

Geometry as CIF:
```
data_Tl5SbCl8
_cell_length_a 9.3260
_cell_length_b 9.3260
_cell_length_c 9.6852
_cell_angle_alpha 90.00
_cell_angle_beta 90.00
_cell_angle_gamma 90.00
_space_group_name_H-M_alt 'I -4'
_space_group_IT_number 82
loop_
_space_group_symop_operation_xyz
'x,y,z'
'y,-x,-z'
'-x,-y,z'
'-y,x,-z'
'x+1/2,y+1/2,z+1/2'
'y+1/2,-x+1/2,-z+1/2'
'-x+1/2,-y+1/2,z+1/2'
'-y+1/2,x+1/2,-z+1/2'
loop_
_atom_site_label
_atom_site_type_symbol
_atom_site_fract_x
_atom_site_fract_y
_atom_site_fract_z
_atom_site_occupancy
Tl1 Tl 0.0000 0.0000 0.0000 1
Tl2 Tl 0.1219 0.7395 0.3676 1
Sb1 Sb 0.0000 0.5000 0.7500 1
Cl1 Cl 0.0641 0.6678 0.0076 1
Cl2 Cl 0.0727 0.7780 0.6813 1
```

---

6.
A relaxed Tl2Sb2Cl7 crystal, computed with GGA-PBE.

Properties
Density in g/cm³: 4.16
D(E_F) in states/eV per atom: 0.27
E above lowest polymorph in kJ per mole of atoms: 2.5

Geometry as CIF:
```
data_Tl2Sb2Cl7
_cell_length_a 11.8087
_cell_length_b 8.8105
_cell_length_c 6.9522
_cell_angle_alpha 90.00
_cell_angle_beta 95.70
_cell_angle_gamma 90.00
_space_group_name_H-M_alt 'C 1 2/m 1'
_space_group_IT_number 12
loop_
_space_group_symop_operation_xyz
'x,y,z'
'-x,-y,-z'
'-x,y,-z'
'x,-y,z'
'x+1/2,y+1/2,z'
'-x+1/2,-y+1/2,-z'
'-x+1/2,y+1/2,-z'
'x+1/2,-y+1/2,z'
loop_
_atom_site_label
_atom_site_type_symbol
_atom_site_fract_x
_atom_site_fract_y
_atom_site_fract_z
_atom_site_occupancy
Tl1 Tl 0.0000 0.2260 0.0000 1
Sb1 Sb 0.2360 0.0000 0.5803 1
Cl1 Cl 0.0000 0.0000 0.5000 1
Cl2 Cl 0.0579 0.5000 0.2661 1
Cl3 Cl 0.2194 0.2708 0.7364 1
```

---

7.
A relaxed TlSbCl2 crystal, computed with GGA-PBE.

Properties
Density in g/cm³: 6.26
D(E_F) in states/eV per atom: 0.54
E above lowest polymorph in kJ per mole of atoms: 21.9

Geometry as CIF:
```
data_TlSbCl2
_cell_length_a 3.6006
_cell_length_b 4.7681
_cell_length_c 6.1350
_cell_angle_alpha 90.00
_cell_angle_beta 90.00
_cell_angle_gamma 90.00
_space_group_name_H-M_alt 'P m m m'
_space_group_IT_number 47
loop_
_space_group_symop_operation_xyz
'x,y,z'
'-x,-y,-z'
'-x,-y,z'
'x,y,-z'
'x,-y,-z'
'-x,y,z'
'-x,y,-z'
'x,-y,z'
loop_
_atom_site_label
_atom_site_type_symbol
_atom_site_fract_x
_atom_site_fract_y
_atom_site_fract_z
_atom_site_occupancy
Tl1 Tl 0.0000 0.0000 0.0000 1
Sb1 Sb 0.5000 0.0000 0.5000 1
Cl1 Cl 0.0000 0.5000 0.5000 1
Cl2 Cl 0.5000 0.5000 0.0000 1
```

---

8.
A relaxed Tl4SbCl6 crystal, computed with GGA-PBE.

Properties
Density in g/cm³: 5.52
D(E_F) in states/eV per atom: 0.50
Uncorrected energy in eV per atom: -3.05

Geometry as CIF:
```
data_Tl4SbCl6
_cell_length_a 8.7926
_cell_length_b 8.7926
_cell_length_c 8.9664
_cell_angle_alpha 90.00
_cell_angle_beta 90.00
_cell_angle_gamma 90.00
_space_group_name_H-M_alt 'P 4/m n c'
_space_group_IT_number 128
_space_group_name_Hall '-P 4 2n'
loop_
_atom_site_label
_atom_site_type_symbol
_atom_site_fract_x
_atom_site_fract_y
_atom_site_fract_z
_atom_site_occupancy
Tl1 Tl 0.1587 0.3413 0.2500 1
Sb1 Sb 0.0000 0.0000 0.0000 1
Cl1 Cl 0.0000 0.0000 0.2948 1
Cl2 Cl 0.1310 0.6836 0.0000 1
```

---

9.
A relaxed TlSbCl2 crystal, computed with GGA-PBE.

Properties
Density in g/cm³: 5.45
D(E_F) in states/eV per atom: 0.53
E above lowest polymorph in kJ per mole of atoms: 22.3

Geometry as CIF:
```
data_TlSbCl2
_cell_length_a 5.0460
_cell_length_b 5.0460
_cell_length_c 19.0020
_cell_angle_alpha 90.00
_cell_angle_beta 90.00
_cell_angle_gamma 90.00
_space_group_name_H-M_alt 'I -4 2 d'
_space_group_IT_number 122
_space_group_name_Hall 'I -4 2bw'
loop_
_atom_site_label
_atom_site_type_symbol
_atom_site_fract_x
_atom_site_fract_y
_atom_site_fract_z
_atom_site_occupancy
Tl1 Tl 0.0000 0.0000 0.0000 1
Sb1 Sb 0.0000 0.0000 0.5000 1
Cl1 Cl 0.2042 0.2500 0.6250 1
```

---

10.
A relaxed TlSbCl2 crystal, computed with GGA-PBE.

Properties
Density in g/cm³: 5.66
D(E_F) in states/eV per atom: 0.30
E above lowest polymorph in kJ per mole of atoms: 12.4

Geometry as CIF:
```
data_TlSbCl2
_cell_length_a 11.6387
_cell_length_b 3.5174
_cell_length_c 5.9458
_cell_angle_alpha 90.00
_cell_angle_beta 106.70
_cell_angle_gamma 90.00
_space_group_name_H-M_alt 'C 1 m 1'
_space_group_IT_number 8
loop_
_space_group_symop_operation_xyz
'x,y,z'
'x,-y,z'
'x+1/2,y+1/2,z'
'x+1/2,-y+1/2,z'
loop_
_atom_site_label
_atom_site_type_symbol
_atom_site_fract_x
_atom_site_fract_y
_atom_site_fract_z
_atom_site_occupancy
Tl1 Tl 0.0000 0.0000 0.0000 1
Sb1 Sb 0.1918 0.5000 0.4741 1
Cl1 Cl 0.2436 0.0000 0.9149 1
Cl2 Cl 0.4896 0.0000 0.5263 1
```

---

11.
A relaxed Tl12Sb3Cl5 crystal, computed with GGA-PBE.

Properties
Density in g/cm³: 6.09
D(E_F) in states/eV per atom: 0.48
Uncorrected energy in eV per atom: -2.85

Geometry as CIF:
```
data_Tl12Sb3Cl5
_cell_length_a 18.6958
_cell_length_b 18.6958
_cell_length_c 18.6958
_cell_angle_alpha 90.00
_cell_angle_beta 90.00
_cell_angle_gamma 90.00
_space_group_name_H-M_alt 'I a -3 d'
_space_group_IT_number 230
_space_group_name_Hall '-I 4bd 2c 3'
loop_
_atom_site_label
_atom_site_type_symbol
_atom_site_fract_x
_atom_site_fract_y
_atom_site_fract_z
_atom_site_occupancy
Tl1 Tl 0.0132 0.0660 0.6550 1
Sb1 Sb 0.0000 0.2500 0.1250 1
Cl1 Cl 0.0000 0.0000 0.0000 1
Cl2 Cl 0.0000 0.2500 0.3750 1
```

---

12.
A relaxed Tl6Sb2Cl crystal, computed with GGA-PBE.

Properties
Density in g/cm³: 7.91
D(E_F) in states/eV per atom: 0.23
Uncorrected energy in eV per atom: -2.82

Geometry as CIF:
```
data_Tl6Sb2Cl
_cell_length_a 13.7105
_cell_length_b 6.1543
_cell_length_c 9.8409
_cell_angle_alpha 90.00
_cell_angle_beta 130.41
_cell_angle_gamma 90.00
_space_group_name_H-M_alt 'C 1 2/m 1'
_space_group_IT_number 12
loop_
_space_group_symop_operation_xyz
'x,y,z'
'-x,-y,-z'
'-x,y,-z'
'x,-y,z'
'x+1/2,y+1/2,z'
'-x+1/2,-y+1/2,-z'
'-x+1/2,y+1/2,-z'
'x+1/2,-y+1/2,z'
loop_
_atom_site_label
_atom_site_type_symbol
_atom_site_fract_x
_atom_site_fract_y
_atom_site_fract_z
_atom_site_occupancy
Tl1 Tl 0.1154 0.0000 0.3322 1
Tl2 Tl 0.1554 0.5000 0.7125 1
Tl3 Tl 0.1917 0.5000 0.0976 1
Sb1 Sb 0.0856 0.5000 0.3025 1
Cl1 Cl 0.0000 0.0000 0.5000 1
```